# 1
The following is a DFT calculation (PBE) of crystalline Na5Hg at its relaxed geometry.

Cell: 12.564 4.300 7.455 Å, 90.00 108.00 90.00°
Space group Cm (No. 8)
Inequivalent atoms, fractional coordinates:
Na (0.000, 0.000, 0.000)
Na (0.008, 0.000, 0.462)
Na (0.189, 0.500, 0.842)
Na (0.198, 0.500, 0.304)
Na (0.348, 0.000, 0.652)
Hg (0.349, 0.000, 0.152)

=====

# 2
The following is a DFT calculation (PBE) of crystalline Na2Hg7 at its relaxed geometry.

Cell: 6.0333 6.0333 49.3597 Å, 90.00 90.00 120.00°
Space group R-3m (No. 166, hexagonal axes)
Inequivalent atoms, fractional coordinates:
Na (0.0000, 0.0000, 0.0427)
Na (0.0000, 0.0000, 0.1486)
Hg (0.0000, 0.0000, 0.2758)
Hg (0.0000, 0.0000, 0.3920)
Hg (0.0000, 0.0000, 0.5000)
Hg (0.0000, 0.5000, 0.0000)
Hg (0.0052, 0.5026, 0.8851)

=====

# 3
The following is a DFT calculation (PBE) of crystalline Na15Hg at its relaxed geometry.

Cell: 7.3366 7.3366 11.9276 Å, 90.00 90.00 120.00°
Space group P-6m2 (No. 187)
Inequivalent atoms, fractional coordinates:
Na (0.0000, 0.0000, 0.0000)
Na (0.0051, 0.5026, 0.5000)
Na (0.3229, 0.1615, 0.2639)
Na (0.3333, 0.6667, 0.2445)
Na (0.5021, 0.0042, 0.0000)
Hg (0.0000, 0.0000, 0.5000)

=====

Final energy for the records above, in order: -1.2356 -0.6226 -1.2769 eV/atom
N(E_F) for the records above, in order: 0.30 0.35 0.39 states/eV/atom
Formation enthalpy at 0 K for the records above, in order: -0.086 -0.095 -0.021 eV/atom